Record 1
First-principles (GGA-PBE) data for a relaxed structure of Pr8SnIr3I4, as listed in Alexandria.

abc: 9.5373 9.5373 9.5373
angles: 54.29 54.29 54.29
With the nearest neighbours (Å) after each atom.
Sites, in units of the cell vectors:
Pr1 0.2057 0.7421 0.7421  2 Ir 2.87, 1 Sn 3.10
Pr2 0.2292 0.2292 0.2292  3 Ir 2.94
Pr3 0.2579 0.2579 0.7943  2 Ir 2.87, 1 Sn 3.10
Pr4 0.2579 0.7943 0.2579  2 Ir 2.87, 1 Sn 3.10
Pr5 0.7421 0.2057 0.7421  2 Ir 2.87, 1 Sn 3.10
Pr6 0.7421 0.7421 0.2057  2 Ir 2.87, 1 Sn 3.10
Pr7 0.7708 0.7708 0.7708  3 Ir 2.94
Pr8 0.7943 0.2579 0.2579  2 Ir 2.87, 1 Sn 3.10
Sn1 0.5000 0.5000 0.5000  6 Pr 3.10
Ir1 0.0000 0.0000 0.5000  6 Pr 2.87-2.94
Ir2 0.0000 0.5000 0.0000  6 Pr 2.87-2.94
Ir3 0.5000 0.0000 0.0000  6 Pr 2.87-2.94
I1 0.0000 0.0000 0.0000  6 Pr 3.43
I2 0.0000 0.5000 0.5000  6 Pr 3.57-3.62
I3 0.5000 0.0000 0.5000  6 Pr 3.57-3.62
I4 0.5000 0.5000 0.0000  6 Pr 3.57-3.62

Calculated values
As for the symmetry: R-3m, No. 166. For the total energy, the calculation gives -5.5838 eV per atom. Its raw formation energy is -0.895 eV per atom.

***

Record 2
First-principles (GGA-PBE) data for a relaxed structure of Pr6SnIr2I3, as listed in Alexandria.

abc: 7.5568 7.5568 8.4960
angles: 98.61 98.61 119.84
With the nearest neighbours (Å) after each atom.
Sites, in units of the cell vectors:
Pr1 0.0717 0.4343 0.8054  2 Ir 2.88-2.89, 1 Sn 3.16
Pr2 0.2018 0.2018 0.1924  2 Ir 2.88, 1 Sn 3.16
Pr3 0.4343 0.0717 0.8054  2 Ir 2.88-2.89, 1 Sn 3.16
Pr4 0.5657 0.9283 0.1946  2 Ir 2.88-2.89, 1 Sn 3.16
Pr5 0.7982 0.7982 0.8076  2 Ir 2.88, 1 Sn 3.16
Pr6 0.9283 0.5657 0.1946  2 Ir 2.88-2.89, 1 Sn 3.16
Sn1 0.5000 0.5000 0.0000  6 Pr 3.16
Ir1 0.1674 0.8326 0.0000  6 Pr 2.88-2.89
Ir2 0.8326 0.1674 0.0000  6 Pr 2.88-2.89
I1 0.0000 0.0000 0.5000  6 Pr 3.40-3.61
I2 0.3402 0.6598 0.5000  6 Pr 3.43-3.63
I3 0.6598 0.3402 0.5000  6 Pr 3.43-3.63

Calculated values
As for the symmetry: C2/m, No. 12. For the total energy, the calculation gives -5.4881 eV per atom. Its raw formation energy is -0.900 eV per atom.

***

Record 3
First-principles (GGA-PBE) data for a relaxed structure of SrPrIrI, as listed in Alexandria.

abc: 8.6762 8.6762 8.6762
angles: 28.56 28.56 28.56
With the nearest neighbours (Å) after each atom.
Sites, in units of the cell vectors:
Sr1 0.0000 0.0000 0.0000  3 Ir 3.05
Pr1 0.7942 0.7942 0.7942  3 Ir 2.84
Ir1 0.4047 0.4047 0.4047  3 Pr 2.84, 3 Sr 3.05
I1 0.2295 0.2295 0.2295  3 Pr 3.55, 3 Sr 3.58

Calculated values
As for the symmetry: R3m, No. 160. For the total energy, the calculation gives -5.0357 eV per atom. Its raw formation energy is -0.818 eV per atom.

***

Record 4
First-principles (GGA-PBE) data for a relaxed structure of Pr2ThIr2I2, as listed in Alexandria.

abc: 9.1926 9.1926 9.1926
angles: 146.54 146.54 48.04
With the nearest neighbours (Å) after each atom.
Sites, in units of the cell vectors:
Pr1 0.1040 0.1040 0.0000  4 Ir 3.17, 1 I 3.34, 1 Pr 3.49
Pr2 0.8960 0.8960 0.0000  4 Ir 3.17, 1 I 3.34, 1 Pr 3.49
Th1 0.5000 0.5000 0.0000  4 Ir 2.65
Ir1 0.0000 0.5000 0.5000  2 Th 2.65
Ir2 0.5000 0.0000 0.5000  2 Th 2.65
I1 0.3028 0.3028 0.0000  1 Th 3.31, 1 Pr 3.34
I2 0.6972 0.6972 0.0000  1 Th 3.31, 1 Pr 3.34

Calculated values
As for the symmetry: I4/mmm, No. 139. For the total energy, the calculation gives -6.1225 eV per atom. Its raw formation energy is -0.722 eV per atom.

***

Record 5
First-principles (GGA-PBE) data for a relaxed structure of Pr8TlIr3I4, as listed in Alexandria.

abc: 9.5634 9.5634 9.5634
angles: 53.94 53.94 53.94
With the nearest neighbours (Å) after each atom.
Sites, in units of the cell vectors:
Pr1 0.2050 0.7425 0.7425  2 Ir 2.87, 1 Tl 3.11
Pr2 0.2295 0.2295 0.2295  3 Ir 2.94
Pr3 0.2575 0.2575 0.7950  2 Ir 2.87, 1 Tl 3.11
Pr4 0.2575 0.7950 0.2575  2 Ir 2.87, 1 Tl 3.11
Pr5 0.7425 0.2050 0.7425  2 Ir 2.87, 1 Tl 3.11
Pr6 0.7425 0.7425 0.2050  2 Ir 2.87, 1 Tl 3.11
Pr7 0.7705 0.7705 0.7705  3 Ir 2.94
Pr8 0.7950 0.2575 0.2575  2 Ir 2.87, 1 Tl 3.11
Tl1 0.5000 0.5000 0.5000  6 Pr 3.11
Ir1 0.0000 0.0000 0.5000  6 Pr 2.87-2.94
Ir2 0.0000 0.5000 0.0000  6 Pr 2.87-2.94
Ir3 0.5000 0.0000 0.0000  6 Pr 2.87-2.94
I1 0.0000 0.0000 0.0000  6 Pr 3.43
I2 0.0000 0.5000 0.5000  6 Pr 3.57-3.63
I3 0.5000 0.0000 0.5000  6 Pr 3.57-3.63
I4 0.5000 0.5000 0.0000  6 Pr 3.57-3.63

Calculated values
As for the symmetry: R-3m, No. 166. For the total energy, the calculation gives -5.4302 eV per atom. Its raw formation energy is -0.844 eV per atom.

***

Record 6
First-principles (GGA-PBE) data for a relaxed structure of PrTmIrI, as listed in Alexandria.

abc: 8.3733 8.3733 8.3733
angles: 28.78 28.78 28.78
With the nearest neighbours (Å) after each atom.
Sites, in units of the cell vectors:
Pr1 0.0000 0.0000 0.0000  3 Ir 2.86
Tm1 0.2133 0.2133 0.2133  3 Ir 2.75
Ir1 0.6021 0.6021 0.6021  3 Tm 2.75, 3 Pr 2.86
I1 0.7764 0.7764 0.7764  3 Tm 3.46, 3 Pr 3.57

Calculated values
As for the symmetry: R3m, No. 160. For the total energy, the calculation gives -5.8582 eV per atom. Its raw formation energy is -0.943 eV per atom.

***

Record 7
First-principles (GGA-PBE) data for a relaxed structure of PrYIrI, as listed in Alexandria.

abc: 8.4095 8.4095 8.4095
angles: 28.82 28.82 28.82
With the nearest neighbours (Å) after each atom.
Sites, in units of the cell vectors:
Pr1 0.0000 0.0000 0.0000  3 Ir 2.86
Y1 0.7876 0.7876 0.7876  3 Ir 2.79
Ir1 0.3966 0.3966 0.3966  3 Y 2.79, 3 Pr 2.86
I1 0.2228 0.2228 0.2228  3 Y 3.45, 3 Pr 3.60

Calculated values
As for the symmetry: R3m, No. 160. For the total energy, the calculation gives -6.3479 eV per atom. Its raw formation energy is -0.934 eV per atom.

***

Record 8
First-principles (GGA-PBE) data for a relaxed structure of Ir3PtI, as listed in Alexandria.

abc: 4.8769 4.8769 4.8769
angles: 90.00 90.00 90.00
With the nearest neighbours (Å) after each atom.
Sites, in units of the cell vectors:
Ir1 0.0000 0.0000 0.5000  2 Pt 2.44
Ir2 0.0000 0.5000 0.0000  2 Pt 2.44
Ir3 0.5000 0.0000 0.0000  2 Pt 2.44
Pt1 0.0000 0.0000 0.0000  6 Ir 2.44
I1 0.5000 0.5000 0.5000  12 Ir 3.45

Calculated values
As for the symmetry: Pm-3m, No. 221. For the total energy, the calculation gives -4.8372 eV per atom. Its raw formation energy is 1.998 eV per atom.

***

Record 9
First-principles (GGA-PBE) data for a relaxed structure of IrPt2I8, as listed in Alexandria.

abc: 7.5694 7.5694 8.5524
angles: 94.97 94.97 77.59
With the nearest neighbours (Å) after each atom.
Sites, in units of the cell vectors:
Ir1 0.0000 0.0000 0.0000  4 I 2.65
Pt1 0.1358 0.1358 0.3837  5 I 2.61-2.79
Pt2 0.8642 0.8642 0.6163  5 I 2.61-2.79
I1 0.0427 0.6666 0.8652  1 Ir 2.65, 1 Pt 2.79
I2 0.0913 0.0913 0.6851  2 Pt 2.68-2.69
I3 0.3334 0.9573 0.1348  1 Ir 2.65, 1 Pt 2.79
I4 0.3522 0.3522 0.4864  1 Pt 2.61
I5 0.6478 0.6478 0.5136  1 Pt 2.61
I6 0.6666 0.0427 0.8652  1 Ir 2.65, 1 Pt 2.79
I7 0.9087 0.9087 0.3149  2 Pt 2.68-2.69
I8 0.9573 0.3334 0.1348  1 Ir 2.65, 1 Pt 2.79

Calculated values
As for the symmetry: C2/m, No. 12. For the total energy, the calculation gives -2.9304 eV per atom. Its raw formation energy is 0.101 eV per atom.

***

Record 10
First-principles (GGA-PBE) data for a relaxed structure of IrPtI3, as listed in Alexandria.

abc: 5.3491 5.3491 5.3491
angles: 90.00 90.00 90.00
With the nearest neighbours (Å) after each atom.
Sites, in units of the cell vectors:
Ir1 0.0000 0.0000 0.0000  6 I 2.67
Pt1 0.5000 0.5000 0.5000  12 I 3.78
I1 0.0000 0.0000 0.5000  2 Ir 2.67
I2 0.0000 0.5000 0.0000  2 Ir 2.67
I3 0.5000 0.0000 0.0000  2 Ir 2.67

Calculated values
As for the symmetry: Pm-3m, No. 221. The calculation puts the energy relative to the lowest polymorph listed for this composition at 0.0 meV per atom. For the total energy, the calculation gives -2.8547 eV per atom. Its raw formation energy is 1.056 eV per atom.

***

Record 11
First-principles (GGA-PBE) data for a relaxed structure of IrPtI2, as listed in Alexandria.

abc: 7.2713 7.2713 7.2713
angles: 129.49 129.49 74.23
With the nearest neighbours (Å) after each atom.
Sites, in units of the cell vectors:
Ir1 0.0000 0.0000 0.0000  4 I 2.59
Ir2 0.7500 0.2500 0.5000  4 I 2.59
Pt1 0.2500 0.7500 0.5000  4 I 2.67
Pt2 0.5000 0.5000 0.0000  4 I 2.67
I1 0.1140 0.6250 0.9890  2 Ir 2.59, 2 Pt 2.67
I2 0.3750 0.3640 0.4890  2 Ir 2.59, 2 Pt 2.67
I3 0.6360 0.1250 0.0110  2 Ir 2.59, 2 Pt 2.67
I4 0.8750 0.8860 0.5110  2 Ir 2.59, 2 Pt 2.67

Calculated values
As for the symmetry: I-42d, No. 122. The calculation puts the energy relative to the lowest polymorph listed for this composition at 0.0 meV per atom. For the total energy, the calculation gives -3.8217 eV per atom. Its raw formation energy is 0.679 eV per atom.

***

> raw formation energy of number 10 (IrPtI3)?

1.056 eV per atom

***

> Which value of raw formation energy does entry 8 give?

1.998 eV per atom